## Ac3CeAs4 (PBE)

Data for crystalline Ac3CeAs4 at its relaxed geometry.

Values from the calculation:
* volume: 31.91 Å³/atom
* size of the total moment: 0.8 μB/f.u.
* energy of formation from the pure elements: -1428 meV per atom
* excess energy over the best structure of this formula in the dataset: 0.019 eV/atom

Cell: 6.3433 6.3433 6.3433 Å, 90.00 90.00 90.00°
Last column: nearest neighbours and their distance in Å.
Element x y z (fractional)
As1 0.0000 0.5000 0.0000  4 Ac 3.17, 2 Ce 3.17
As2 0.5000 0.5000 0.5000  6 Ac 3.17
As3 0.5000 0.0000 0.0000  4 Ac 3.17, 2 Ce 3.17
As4 0.0000 0.0000 0.5000  4 Ac 3.17, 2 Ce 3.17
Ac1 0.5000 0.5000 0.0000  6 As 3.17
Ac2 0.0000 0.5000 0.5000  6 As 3.17
Ac3 0.5000 0.0000 0.5000  6 As 3.17
Ce1 0.0000 0.0000 0.0000  6 As 3.17

=====

## AcCe3As4 (PBE)

Data for crystalline AcCe3As4 at its relaxed geometry.

Values from the calculation:
* volume: 28.29 Å³/atom
* size of the total moment: 2.2 μB/f.u.
* energy of formation from the pure elements: -1411 meV per atom

Cell: 4.3052 7.4665 7.4665 Å, 70.58 90.00 90.00°
Last column: nearest neighbours and their distance in Å.
Element x y z (fractional)
Ce1 0.9999 0.0001 0.0000  6 As 3.05
Ce2 0.0000 0.5001 0.5000  6 As 3.05
Ce3 0.5000 0.0001 0.5000  6 As 2.96
As1 0.0000 0.2356 0.2645  4 Ce 2.96-3.05, 2 Ac 3.14
As2 0.0000 0.7647 0.7354  4 Ce 2.96-3.05, 2 Ac 3.14
As3 0.5001 0.7571 0.2569  5 Ce 2.96-3.05, 1 Ac 3.13
As4 0.4998 0.2431 0.7431  5 Ce 2.96-3.05, 1 Ac 3.13
Ac1 0.5000 0.5001 0.0000  6 As 3.13-3.14

=====

## AcCeAs3 (PBE)

Data for crystalline AcCeAs3 at its relaxed geometry.

Values from the calculation:
* volume: 31.55 Å³/atom
* size of the total moment: 0.0 μB/f.u.
* energy of formation from the pure elements: -580 meV per atom

Cell: 5.4033 5.4033 5.4033 Å, 90.00 90.00 90.00°
Last column: nearest neighbours and their distance in Å.
Element x y z (fractional)
Ac1 0.5000 0.5000 0.5000  12 As 3.82
As1 0.0000 0.5000 0.0000  2 Ce 2.70
As2 0.5000 0.0000 0.0000  2 Ce 2.70
As3 0.0000 0.0000 0.5000  2 Ce 2.70
Ce1 0.0000 0.0000 0.0000  6 As 2.70

=====

## AcCeAs (PBE)

Data for crystalline AcCeAs at its relaxed geometry.

Values from the calculation:
* volume: 31.05 Å³/atom
* size of the total moment: 1.1 μB/f.u.
* energy of formation from the pure elements: -636 meV per atom
* excess energy over the best structure of this formula in the dataset: 0.101 eV/atom

Cell: 6.2248 9.1209 6.6994 Å, 101.57 90.00 90.00°
Last column: nearest neighbours and their distance in Å.
Element x y z (fractional)
As1 0.4870 0.6929 0.8040  3 Ce 2.95-3.17
As2 0.0130 0.6929 0.3040  3 Ce 2.95-3.17
As3 0.9870 0.3071 0.6960  3 Ce 2.95-3.17
As4 0.5130 0.3071 0.1960  3 Ce 2.95-3.17
Ce1 0.0157 0.3625 0.2125  3 As 2.95-3.17
Ce2 0.9843 0.6375 0.7875  3 As 2.95-3.17
Ce3 0.5157 0.6375 0.2875  3 As 2.95-3.17
Ce4 0.4843 0.3625 0.7125  3 As 2.95-3.17
Ac1 0.7406 0.0241 0.8708  3 As 3.34-3.41, 6 Ac 3.35-3.73
Ac2 0.2406 0.9759 0.6292  3 As 3.34-3.41, 6 Ac 3.35-3.73
Ac3 0.2594 0.9759 0.1292  3 As 3.34-3.41, 6 Ac 3.35-3.73
Ac4 0.7594 0.0241 0.3708  3 As 3.34-3.41, 6 Ac 3.35-3.73

=====

## AcCe2DyAs4 (PBE)

Data for crystalline AcCe2DyAs4 at its relaxed geometry.

Values from the calculation:
* volume: 27.79 Å³/atom
* size of the total moment: 1.3 μB/f.u.
* energy of formation from the pure elements: -1430 meV per atom

Cell: 4.2822 7.4123 7.4272 Å, 70.58 90.00 90.00°
Last column: nearest neighbours and their distance in Å.
Element x y z (fractional)
Ce1 0.5000 0.0000 0.5000  6 As 2.94
Ce2 0.0000 0.0000 0.0000  6 As 3.05
Ac1 0.5000 0.5000 0.0000  6 As 3.11-3.12
Dy1 0.0000 0.5000 0.5000  6 As 3.01
As1 0.0000 0.2373 0.2665  3 Ce 2.94-3.05, 1 Dy 3.01, 2 Ac 3.12
As2 0.0000 0.7627 0.7335  3 Ce 2.94-3.05, 1 Dy 3.01, 2 Ac 3.12
As3 0.5000 0.2465 0.7397  3 Ce 2.94-3.05, 2 Dy 3.01, 1 Ac 3.11
As4 0.5000 0.7535 0.2603  3 Ce 2.94-3.05, 2 Dy 3.01, 1 Ac 3.11

=====

## AcCe3Dy2As6 (PBE)

Data for crystalline AcCe3Dy2As6 at its relaxed geometry.

Values from the calculation:
* volume: 27.07 Å³/atom
* size of the total moment: 2.0 μB/f.u.
* energy of formation from the pure elements: -1443 meV per atom

Cell: 7.3606 7.3606 7.3474 Å, 99.64 99.64 120.00°
Last column: nearest neighbours and their distance in Å.
Element x y z (fractional)
Ce1 0.5000 0.5000 0.5000  6 As 2.91-3.02
Ce2 0.8363 0.1637 0.5000  6 As 2.93-3.03
Ce3 0.1637 0.8363 0.5000  6 As 2.93-3.03
As1 0.7367 0.7367 0.2516  3 Ce 2.91-3.01, 2 Dy 2.98, 1 Ac 3.09
As2 0.4320 0.0852 0.2548  3 Ce 2.93-3.03, 2 Dy 2.97-2.98, 1 Ac 3.10
As3 0.5680 0.9148 0.7452  3 Ce 2.93-3.03, 2 Dy 2.97-2.98, 1 Ac 3.10
As4 0.0852 0.4320 0.2548  3 Ce 2.93-3.03, 2 Dy 2.97-2.98, 1 Ac 3.10
As5 0.9148 0.5680 0.7452  3 Ce 2.93-3.03, 2 Dy 2.97-2.98, 1 Ac 3.10
As6 0.2633 0.2633 0.7484  3 Ce 2.91-3.01, 2 Dy 2.98, 1 Ac 3.09
Ac1 0.0000 0.0000 0.0000  6 As 3.09-3.10
Dy1 0.3323 0.6677 0.0000  6 As 2.97-2.98
Dy2 0.6677 0.3323 0.0000  6 As 2.97-2.98